# 1
First-principles (PBEsol) data for NaIn2AsO after structural relaxation, as listed in Alexandria.

The space group is P4/mmm (No. 123) and the conventional cell measures 4.692, 4.692 and 4.374 Å, with angles of 90.00, 90.00 and 90.00 degrees. The inequivalent atoms are Na at (0.000, 0.000, 0.000), In at (0.000, 0.500, 0.500), As at (0.500, 0.500, 0.000) and O at (0.000, 0.000, 0.500).

The value obtained for the calculated volume is 19.3 Å³/atom. Its raw formation energy is -0.5035 eV per atom. For the density of states at the Fermi level, the calculation gives 0.35 states/eV per atom.

=====

# 2
First-principles (PBEsol) data for Mg2ReRh after structural relaxation, as listed in Alexandria.

The space group is R3m (No. 160, hexagonal axes) and the conventional cell measures 2.8344, 2.8344 and 28.1865 Å, with angles of 90.00, 90.00 and 120.00 degrees. The inequivalent atoms are Mg at (0.0000, 0.0000, 0.0000), Mg at (0.0000, 0.0000, 0.2332), Re at (0.0000, 0.0000, 0.7495) and Rh at (0.0000, 0.0000, 0.4884).

The value obtained for the calculated volume is 16.3 Å³/atom. As for the formation energy: 96 meV/atom. For the density of states at the Fermi level, the calculation gives 0.61 states/eV per atom.

=====

# 3
First-principles (PBEsol) data for TlCrNiF6 after structural relaxation, as listed in Alexandria.

The space group is Imma (No. 74) and the conventional cell measures 7.085, 7.180 and 10.204 Å, with angles of 90.00, 90.00 and 90.00 degrees. The inequivalent atoms are Tl at (0.000, 0.250, 0.090), Cr at (0.000, 0.000, 0.500), Ni at (0.250, 0.250, 0.750), F at (0.000, 0.250, 0.435), F at (0.000, 0.250, 0.831) and F at (0.196, 0.049, 0.622).

The value obtained for the calculated volume is 14.4 Å³/atom. Its raw formation energy is -2.1047 eV per atom.

=====

# 4
First-principles (PBEsol) data for SrAlIn3 after structural relaxation, as listed in Alexandria.

The space group is Pm-3m (No. 221) and the conventional cell measures 5.986, 5.986 and 5.986 Å, with angles of 90.00, 90.00 and 90.00 degrees. The inequivalent atoms are Sr at (0.000, 0.000, 0.000), Al at (0.500, 0.500, 0.500) and In at (0.000, 0.000, 0.500).

The value obtained for the calculated volume is 42.9 Å³/atom. As for the formation energy: 1015 meV/atom. For the density of states at the Fermi level, the calculation gives 0.88 states/eV per atom.

=====

# 5
First-principles (PBEsol) data for MgInAu2 after structural relaxation, as listed in Alexandria.

The space group is P4/mmm (No. 123) and the conventional cell measures 3.388, 3.388 and 6.432 Å, with angles of 90.00, 90.00 and 90.00 degrees. The inequivalent atoms are Mg at (0.000, 0.000, 0.000), In at (0.000, 0.000, 0.500) and Au at (0.500, 0.500, 0.230).

The value obtained for the calculated volume is 18.5 Å³/atom. As for the formation energy: -388 meV/atom. For the density of states at the Fermi level, the calculation gives 0.32 states/eV per atom.

=====

# 6
First-principles (PBEsol) data for ScCr2Pt after structural relaxation, as listed in Alexandria.

The space group is I4/mmm (No. 139) and the conventional cell measures 3.645, 3.645 and 8.601 Å, with angles of 90.00, 90.00 and 90.00 degrees. The inequivalent atoms are Sc at (0.000, 0.000, 0.000), Cr at (0.000, 0.500, 0.250) and Pt at (0.000, 0.000, 0.500).

The value obtained for the calculated volume is 14.3 Å³/atom. As for the formation energy: -18 meV/atom. For the density of states at the Fermi level, the calculation gives 0.67 states/eV per atom.

=====

Look up the calculated volume of the sixth one.
14.3 Å³/atom

=====

calculated volume of number 6 (ScCr2Pt)?
14.3 Å³/atom